No. 1
DFT (PBE-GGA) results for an optimized crystal structure of La3Th2UN6.

Its formation energy without anion corrections is -17.8 eV/f.u.

The structure belongs to space group C2/m (No. 12); the cell edges are 6.317, 10.928 and 6.353 Å and the angles 90.00°, 109.30° and 90.00°. Symmetry generates all atoms from La at (0.000, 0.000, 0.000), La at (0.000, 0.334, 0.000), Th at (0.000, 0.167, 0.500), U at (0.000, 0.500, 0.500), N at (0.223, 0.347, 0.709) and N at (0.236, 0.500, 0.287).

=====

No. 2
DFT (PBE-GGA) results for an optimized crystal structure of La2ThUN5.

Its formation energy without anion corrections is -11.8 eV/f.u.

The structure belongs to space group P4/mmm (No. 123); the cell edges are 4.127, 4.127 and 9.174 Å and the angles 90.00°, 90.00° and 90.00°. Symmetry generates all atoms from La at (0.000, 0.000, 0.228), Th at (0.500, 0.500, 0.500), U at (0.500, 0.500, 0.000), N at (0.000, 0.000, 0.500), N at (0.000, 0.500, 0.000) and N at (0.500, 0.500, 0.253).

=====

What did the second record say?
DFT (PBE-GGA) results for an optimized crystal structure of La2ThUN5.

Its formation energy without anion corrections is -11.8 eV/f.u.

The structure belongs to space group P4/mmm (No. 123); the cell edges are 4.127, 4.127 and 9.174 Å and the angles 90.00°, 90.00° and 90.00°. Symmetry generates all atoms from La at (0.000, 0.000, 0.228), Th at (0.500, 0.500, 0.500), U at (0.500, 0.500, 0.000), N at (0.000, 0.000, 0.500), N at (0.000, 0.500, 0.000) and N at (0.500, 0.500, 0.253).